# SCAN CaFeW2Cl, single point on PBEsol structure
data_CaFeW2Cl
_cell_length_a 4.438
_cell_length_b 4.438
_cell_length_c 5.280
_cell_angle_alpha 90.00
_cell_angle_beta 90.00
_cell_angle_gamma 90.00
_space_group_name_H-M_alt 'P 4/m m m'
_space_group_IT_number 123
_space_group_name_Hall '-P 4 2'
loop_
_atom_site_label
_atom_site_fract_x
_atom_site_fract_y
_atom_site_fract_z
_atom_site_occupancy
Ca1 0.000 0.000 0.000 1
Fe1 0.500 0.500 0.500 1
W1 0.000 0.500 0.500 1
Cl1 0.500 0.500 0.000 1
# formation energy (no corrections) = 1.2840 eV/atom
# E_tot = -33.745 eV per atom

# SCAN Ag2Pt7, single point on PBEsol structure
data_Ag2Pt7
_cell_length_a 4.7826
_cell_length_b 4.7826
_cell_length_c 6.9042
_cell_angle_alpha 90.00
_cell_angle_beta 90.00
_cell_angle_gamma 120.00
_space_group_name_H-M_alt 'P -3 1 m'
_space_group_IT_number 162
_space_group_name_Hall '-P 3 2'
loop_
_atom_site_label
_atom_site_fract_x
_atom_site_fract_y
_atom_site_fract_z
_atom_site_occupancy
Ag1 0.3333 0.6667 0.0000 1
Pt1 0.0000 0.0000 0.0000 1
Pt2 0.0000 0.3300 0.3332 1
# ΔH_f (0 K) = 0.033 eV/atom
# E_tot = -61.532 eV per atom

# SCAN YAsOs, single point on PBEsol structure
data_YAsOs
_cell_length_a 6.404
_cell_length_b 6.404
_cell_length_c 6.404
_cell_angle_alpha 90.00
_cell_angle_beta 90.00
_cell_angle_gamma 90.00
_space_group_name_H-M_alt 'F -4 3 m'
_space_group_IT_number 216
_space_group_name_Hall 'F -4 2 3'
loop_
_atom_site_label
_atom_site_fract_x
_atom_site_fract_y
_atom_site_fract_z
_atom_site_occupancy
Y1 0.000 0.000 0.000 1
As1 0.250 0.250 0.750 1
Os1 0.250 0.250 0.250 1
# ΔH_f (0 K) = 0.576 eV/atom
# E_tot = -39.395 eV per atom

# SCAN AlPt2Rh, single point on PBEsol structure
data_AlPt2Rh
_cell_length_a 5.422
_cell_length_b 7.509
_cell_length_c 2.783
_cell_angle_alpha 90.00
_cell_angle_beta 90.00
_cell_angle_gamma 90.00
_space_group_name_H-M_alt 'C m m m'
_space_group_IT_number 65
_space_group_name_Hall '-C 2 2'
loop_
_atom_site_label
_atom_site_fract_x
_atom_site_fract_y
_atom_site_fract_z
_atom_site_occupancy
Al1 0.000 0.000 0.000 1
Pt1 0.250 0.250 0.500 1
Rh1 0.000 0.500 0.000 1
# ΔH_f (0 K) = -0.712 eV/atom
# E_tot = -46.189 eV per atom

# SCAN Zn2ReP, single point on PBEsol structure
data_Zn2ReP
_cell_length_a 2.8951
_cell_length_b 2.8951
_cell_length_c 23.9433
_cell_angle_alpha 90.00
_cell_angle_beta 90.00
_cell_angle_gamma 120.00
_space_group_name_H-M_alt 'R 3 m'
_space_group_IT_number 160
_space_group_name_Hall 'R 3 -2"'
loop_
_atom_site_label
_atom_site_fract_x
_atom_site_fract_y
_atom_site_fract_z
_atom_site_occupancy
Zn1 0.0000 0.0000 0.0000 1
Zn2 0.0000 0.0000 0.2471 1
Re1 0.0000 0.0000 0.4904 1
P1 0.0000 0.0000 0.7544 1
# ΔH_f (0 K) = 0.053 eV/atom
# E_tot = -27.078 eV per atom

# SCAN PrBi2Au, single point on PBEsol structure
data_PrBi2Au
_cell_length_a 4.660
_cell_length_b 4.660
_cell_length_c 9.753
_cell_angle_alpha 90.00
_cell_angle_beta 90.00
_cell_angle_gamma 90.00
_space_group_name_H-M_alt 'P 4/n m m'
_space_group_IT_number 129
loop_
_space_group_symop_operation_xyz
'x,y,z'
'-x,-y,-z'
'-y+1/2,x,z'
'y+1/2,-x,-z'
'-x+1/2,-y+1/2,z'
'x+1/2,y+1/2,-z'
'y,-x+1/2,z'
'-y,x+1/2,-z'
'x+1/2,-y,-z'
'-x+1/2,y,z'
'-y,-x,-z'
'y,x,z'
'-x,y+1/2,-z'
'x,-y+1/2,z'
'y+1/2,x+1/2,-z'
'-y+1/2,-x+1/2,z'
loop_
_atom_site_label
_atom_site_fract_x
_atom_site_fract_y
_atom_site_fract_z
_atom_site_occupancy
Pr1 0.250 0.250 0.233 1
Bi1 0.250 0.250 0.810 1
Bi2 0.250 0.750 0.500 1
Au1 0.250 0.750 0.000 1
# ΔH_f (0 K) = -0.684 eV/atom
# E_tot = -68.094 eV per atom

# SCAN TlZnRe2, single point on PBEsol structure
data_TlZnRe2
_cell_length_a 2.937
_cell_length_b 4.672
_cell_length_c 4.687
_cell_angle_alpha 90.00
_cell_angle_beta 90.00
_cell_angle_gamma 90.00
_space_group_name_H-M_alt 'P m m m'
_space_group_IT_number 47
_space_group_name_Hall '-P 2 2'
loop_
_atom_site_label
_atom_site_fract_x
_atom_site_fract_y
_atom_site_fract_z
_atom_site_occupancy
Tl1 0.000 0.000 0.000 1
Zn1 0.500 0.000 0.500 1
Re1 0.000 0.500 0.500 1
Re2 0.500 0.500 0.000 1
# ΔH_f (0 K) = 0.848 eV/atom
# E_tot = -56.169 eV per atom

# SCAN Tl2BiSb2, single point on PBEsol structure
data_Tl2BiSb2
_cell_length_a 8.055
_cell_length_b 8.055
_cell_length_c 4.743
_cell_angle_alpha 90.00
_cell_angle_beta 90.00
_cell_angle_gamma 90.00
_space_group_name_H-M_alt 'P 4/m b m'
_space_group_IT_number 127
_space_group_name_Hall '-P 4 2ab'
loop_
_atom_site_label
_atom_site_fract_x
_atom_site_fract_y
_atom_site_fract_z
_atom_site_occupancy
Tl1 0.177 0.323 0.000 1
Bi1 0.000 0.000 0.500 1
Sb1 0.128 0.628 0.500 1
# formation energy (no corrections) = 0.0887 eV/atom
# E_tot = -59.475 eV per atom